# 1
Computed, not measured: MgSiTc2Ni after structural relaxation at the GGA-PBE level of DFT.

Results
For the volume, the calculation gives 17.97 Å³/atom. As for the space-group type: P4/mmm, No. 123.

a b c (Å): 4.406 4.406 4.628
angles (deg): 90.00 90.00 90.00
Fractional coordinates of all 5 atoms:
1 Mg 0.000 0.000 0.000
2 Si 0.000 0.000 0.500
3 Tc 0.000 0.500 0.500
4 Tc 0.500 0.000 0.500
5 Ni 0.500 0.500 0.000

***

# 2
Computed, not measured: TlTe2Au after structural relaxation at the GGA-PBE level of DFT.

Results
For the volume, the calculation gives 27.34 Å³/atom. As for the space-group type: C2/m, No. 12.

a b c (Å): 6.271 6.271 3.227
angles (deg): 97.71 97.71 116.92
Fractional coordinates of all 4 atoms:
1 Tl 0.000 0.000 0.000
2 Te 0.000 0.500 0.500
3 Te 0.500 0.000 0.500
4 Au 0.500 0.500 0.000

***

The following E values (in eV/f.u.) correspond, in order, to the records above: -28.48; -11.23.
The following formation energy (no corrections) values (in eV per atom) correspond, in order, to the records above: 1.01; 0.17.